Material: Ba3TlTc2O8
Method: DFT, GGA-PBE
State: relaxed

Unit cell a=5.922 b=5.922 c=9.466 alpha=90.00 beta=90.00 gamma=120.00
Site moments in Bohr magnetons follow the coordinates.
Fractional coordinates of all 14 atoms:
Ba 0.333 0.667 0.706  -0.01
Ba 0.667 0.333 0.294  -0.01
Ba 0.000 0.000 0.000  0.00
Tl 0.000 0.000 0.500  -0.07
Tc 0.333 0.667 0.164  1.22
Tc 0.667 0.333 0.836  1.22
O 0.333 0.667 0.969  0.08
O 0.667 0.333 0.031  0.08
O 0.167 0.833 0.239  0.10
O 0.833 0.167 0.761  0.10
O 0.167 0.334 0.239  0.10
O 0.833 0.666 0.761  0.10
O 0.666 0.833 0.239  0.10
O 0.334 0.167 0.761  0.10

Results
Its space-group type is P-3m1, No. 164. As for the uncorrected formation energy: -24.8 eV per formula unit. The value obtained for the volume is 20.5 A^3/atom. The mass density comes out at 5.43 Mg/m³.

---

Material: Rb2RuO3
Method: DFT, GGA-PBE
State: relaxed

Unit cell a=5.961 b=6.373 c=6.373 alpha=109.92 beta=90.00 gamma=90.00
Site moments in Bohr magnetons follow the coordinates.
Fractional coordinates of all 12 atoms:
Rb 0.750 0.478 0.815  0.01
Rb 0.250 0.185 0.522  0.01
Rb 0.250 0.522 0.185  0.01
Rb 0.750 0.815 0.478  0.01
Ru 0.250 0.930 0.930  1.26
Ru 0.750 0.070 0.070  1.26
O 0.000 0.124 0.876  0.11
O 0.500 0.124 0.876  0.11
O 0.250 0.674 0.674  0.26
O 0.750 0.326 0.326  0.26
O 0.500 0.876 0.124  0.11
O 0.000 0.876 0.124  0.11

Results
The energy above the most stable polymorph in this dataset is 0.000 eV/atom. Its space-group type is Cmcm, No. 63. As for the uncorrected formation energy: -6.8 eV per formula unit. The value obtained for the volume is 19.0 A^3/atom. The mass density comes out at 4.67 Mg/m³.

---

Material: Tl2RhPb
Method: DFT, GGA-PBE
State: relaxed

Unit cell a=5.461 b=5.461 c=5.461 alpha=128.69 beta=128.69 gamma=75.51
Fractional coordinates of all 4 atoms:
Tl 0.000 0.000 0.000
Tl 0.250 0.750 0.500
Rh 0.750 0.250 0.500
Pb 0.500 0.500 0.000

Results
The energy above the most stable polymorph in this dataset is 0.251 eV/atom. Its space-group type is I-4m2, No. 119. The value obtained for the volume is 24.1 A^3/atom. The mass density comes out at 12.36 Mg/m³.

---

Material: Pr3YEr3Te8
Method: DFT, GGA-PBE
State: relaxed

Unit cell a=8.779 b=8.779 c=8.855 alpha=119.72 beta=90.00 gamma=120.00
Fractional coordinates of all 15 atoms:
Pr 0.000 0.000 0.000
Pr 0.000 0.500 0.000
Pr 0.500 0.500 0.000
Y 0.000 0.000 0.500
Er 0.500 0.000 0.500
Er 0.500 0.500 0.500
Er 0.000 0.500 0.500
Te 0.256 0.511 0.267
Te 0.744 0.489 0.733
Te 0.747 0.494 0.258
Te 0.253 0.506 0.742
Te 0.747 0.011 0.258
Te 0.253 0.989 0.742
Te 0.264 0.011 0.258
Te 0.736 0.989 0.742

Results
Its space-group type is R-3m, No. 166. As for the uncorrected formation energy: -20.9 eV per formula unit. The value obtained for the volume is 32.3 A^3/atom. The mass density comes out at 6.97 Mg/m³.

---

- volume of number 4 (Pr3YEr3Te8)?
  32.3 A^3/atom

---

- Which of these has the lowest volume?
  Rb2RuO3

---

Copy entry 3 word for word.
Material: Tl2RhPb
Method: DFT, GGA-PBE
State: relaxed

Unit cell a=5.461 b=5.461 c=5.461 alpha=128.69 beta=128.69 gamma=75.51
Fractional coordinates of all 4 atoms:
Tl 0.000 0.000 0.000
Tl 0.250 0.750 0.500
Rh 0.750 0.250 0.500
Pb 0.500 0.500 0.000

Results
The energy above the most stable polymorph in this dataset is 0.251 eV/atom. Its space-group type is I-4m2, No. 119. The value obtained for the volume is 24.1 A^3/atom. The mass density comes out at 12.36 Mg/m³.